Record 1
## Ce2PCl (PBE)

Data for a relaxed Ce2PCl crystal.

Lattice parameters (Å, degrees): 7.6894 7.6894 7.6894 29.89 29.89 29.89
With the nearest neighbours (Å) after each atom.
Atoms (fractional coordinates):
Ce  0.0000  0.0000  0.0000  3 P 2.79, 3 Cl 3.05
Ce  0.1871  0.1871  0.1871  3 P 2.81, 3 Cl 3.12
P  0.5944  0.5944  0.5944  6 Ce 2.79-2.81
Cl  0.4245  0.4245  0.4245  6 Ce 3.05-3.12

=====

Record 2
## Ce8P6Cl (PBE)

Data for a relaxed Ce8P6Cl crystal.

Lattice parameters (Å, degrees): 10.7033 10.7033 4.2058 90.00 90.00 120.00
With the nearest neighbours (Å) after each atom.
Atoms (fractional coordinates):
Ce  0.0389  0.6820  0.2565  4 P 2.77-2.84
Ce  0.3180  0.3569  0.2565  4 P 2.77-2.84
Ce  0.3333  0.6667  0.7465  6 P 2.93-2.94
Ce  0.3569  0.0389  0.7435  4 P 2.77-2.84
Ce  0.6431  0.9611  0.2565  4 P 2.77-2.84
Ce  0.6667  0.3333  0.2535  6 P 2.93-2.94
Ce  0.6820  0.6431  0.7435  4 P 2.77-2.84
Ce  0.9611  0.3180  0.7435  4 P 2.77-2.84
P  0.1375  0.4802  0.2449  6 Ce 2.77-2.94
P  0.3427  0.8625  0.2449  6 Ce 2.77-2.94
P  0.4802  0.3427  0.7551  6 Ce 2.77-2.94
P  0.5198  0.6573  0.2449  6 Ce 2.77-2.94
P  0.6573  0.1375  0.7551  6 Ce 2.77-2.94
P  0.8625  0.5198  0.7551  6 Ce 2.77-2.94
Cl  0.0000  0.0000  0.5000  6 Ce 3.77, 2 Cl 4.21

=====

Record 3
## Ce3PCl3 (PBE)

Data for a relaxed Ce3PCl3 crystal.

Lattice parameters (Å, degrees): 9.9332 9.9332 9.9332 109.47 109.47 109.47
With the nearest neighbours (Å) after each atom.
Atoms (fractional coordinates):
Ce  0.0070  0.0139  0.2570  2 P 2.79, 4 Cl 2.92-2.95
Ce  0.0070  0.4930  0.7500  2 P 2.79, 4 Cl 2.92-2.95
Ce  0.0139  0.2570  0.0070  2 P 2.79, 4 Cl 2.92-2.95
Ce  0.2430  0.2570  0.7500  2 P 2.79, 4 Cl 2.92-2.95
Ce  0.2430  0.4861  0.4930  2 P 2.79, 4 Cl 2.92-2.95
Ce  0.2570  0.0070  0.0139  2 P 2.79, 4 Cl 2.92-2.95
Ce  0.2570  0.7500  0.2430  2 P 2.79, 4 Cl 2.92-2.95
Ce  0.4861  0.4930  0.2430  2 P 2.79, 4 Cl 2.92-2.95
Ce  0.4930  0.2430  0.4861  2 P 2.79, 4 Cl 2.92-2.95
Ce  0.4930  0.7500  0.0070  2 P 2.79, 4 Cl 2.92-2.95
Ce  0.7500  0.0070  0.4930  2 P 2.79, 4 Cl 2.92-2.95
Ce  0.7500  0.2430  0.2570  2 P 2.79, 4 Cl 2.92-2.95
P  0.0000  0.2500  0.5000  6 Ce 2.79
P  0.2500  0.2500  0.2500  6 Ce 2.79
P  0.2500  0.5000  0.0000  6 Ce 2.79
P  0.5000  0.0000  0.2500  6 Ce 2.79
Cl  0.2500  0.7542  0.7458  4 Ce 2.92-2.95
Cl  0.2500  0.9958  0.5042  4 Ce 2.92-2.95
Cl  0.5042  0.2500  0.9958  4 Ce 2.92-2.95
Cl  0.5042  0.7542  0.5084  4 Ce 2.92-2.95
Cl  0.5084  0.5042  0.7542  4 Ce 2.92-2.95
Cl  0.7458  0.2500  0.7542  4 Ce 2.92-2.95
Cl  0.7458  0.9958  0.9916  4 Ce 2.92-2.95
Cl  0.7542  0.5084  0.5042  4 Ce 2.92-2.95
Cl  0.7542  0.7458  0.2500  4 Ce 2.92-2.95
Cl  0.9916  0.7458  0.9958  4 Ce 2.92-2.95
Cl  0.9958  0.5042  0.2500  4 Ce 2.92-2.95
Cl  0.9958  0.9916  0.7458  4 Ce 2.92-2.95

=====

Record 4
## Ce5P4Cl (PBE)

Data for a relaxed Ce5P4Cl crystal.

Lattice parameters (Å, degrees): 10.8167 10.8167 10.8167 158.19 149.05 38.18
With the nearest neighbours (Å) after each atom.
Atoms (fractional coordinates):
Ce  0.0000  0.0000  0.0000  4 P 2.88, 2 Cl 2.89
Ce  0.1997  0.1997  0.0000  6 P 2.89-2.90
Ce  0.3955  0.3955  0.0000  4 P 2.83-2.89, 2 Cl 2.96
Ce  0.6045  0.6045  0.0000  4 P 2.83-2.89, 2 Cl 2.96
Ce  0.8003  0.8003  0.0000  6 P 2.89-2.90
P  0.0990  0.5990  0.5000  6 Ce 2.88-2.90
P  0.2996  0.7996  0.5000  6 Ce 2.83-2.89
P  0.7004  0.2004  0.5000  6 Ce 2.83-2.89
P  0.9010  0.4010  0.5000  6 Ce 2.88-2.90
Cl  0.5000  0.0000  0.5000  6 Ce 2.89-2.96

=====

Record 5
## Ce3PCl3 (PBE)

Data for a relaxed Ce3PCl3 crystal.

Lattice parameters (Å, degrees): 10.6751 10.6751 10.6751 38.24 38.24 38.24
With the nearest neighbours (Å) after each atom.
Atoms (fractional coordinates):
Ce  0.1132  0.7802  0.4467  2 P 2.82, 3 Cl 2.86-2.89
Ce  0.2198  0.5533  0.8868  2 P 2.82, 3 Cl 2.86-2.89
Ce  0.4467  0.1132  0.7802  2 P 2.82, 3 Cl 2.86-2.89
Ce  0.5533  0.8868  0.2198  2 P 2.82, 3 Cl 2.86-2.89
Ce  0.7802  0.4467  0.1132  2 P 2.82, 3 Cl 2.86-2.89
Ce  0.8868  0.2198  0.5533  2 P 2.82, 3 Cl 2.86-2.89
P  0.1667  0.1667  0.1667  6 Ce 2.82
P  0.8333  0.8333  0.8333  6 Ce 2.82
Cl  0.0536  0.3897  0.7256  3 Ce 2.86-2.89
Cl  0.2744  0.9464  0.6103  3 Ce 2.86-2.89
Cl  0.3897  0.7256  0.0536  3 Ce 2.86-2.89
Cl  0.6103  0.2744  0.9464  3 Ce 2.86-2.89
Cl  0.7256  0.0536  0.3897  3 Ce 2.86-2.89
Cl  0.9464  0.6103  0.2744  3 Ce 2.86-2.89

=====

Record 6
## Ce2PCl (PBE)

Data for a relaxed Ce2PCl crystal.

Lattice parameters (Å, degrees): 4.0677 7.1554 6.9354 90.00 90.00 90.00
With the nearest neighbours (Å) after each atom.
Atoms (fractional coordinates):
Ce  0.2500  0.0023  0.2329  3 P 2.87-2.90, 3 Cl 3.00-3.01
Ce  0.2500  0.4977  0.2329  3 P 2.87-2.90, 3 Cl 3.00-3.01
Ce  0.7500  0.5023  0.7671  3 P 2.87-2.90, 3 Cl 3.00-3.01
Ce  0.7500  0.9977  0.7671  3 P 2.87-2.90, 3 Cl 3.00-3.01
P  0.2500  0.7500  0.9064  6 Ce 2.87-2.90
P  0.7500  0.2500  0.0936  6 Ce 2.87-2.90
Cl  0.2500  0.2500  0.5815  6 Ce 3.00-3.01
Cl  0.7500  0.7500  0.4185  6 Ce 3.00-3.01

=====

Record 7
## Ce7PCl12 (PBE)

Data for a relaxed Ce7PCl12 crystal.

Lattice parameters (Å, degrees): 9.0517 9.0517 9.0517 107.76 107.76 107.76
With the nearest neighbours (Å) after each atom.
Atoms (fractional coordinates):
Ce  0.0000  0.0000  0.0000  6 Cl 2.84
Ce  0.1690  0.3813  0.4655  1 P 2.74, 5 Cl 2.85-2.94
Ce  0.3813  0.4655  0.1690  1 P 2.74, 5 Cl 2.85-2.94
Ce  0.4655  0.1690  0.3813  1 P 2.74, 5 Cl 2.85-2.94
Ce  0.5345  0.8310  0.6187  1 P 2.74, 5 Cl 2.85-2.94
Ce  0.6187  0.5345  0.8310  1 P 2.74, 5 Cl 2.85-2.94
Ce  0.8310  0.6187  0.5345  1 P 2.74, 5 Cl 2.85-2.94
P  0.5000  0.5000  0.5000  6 Ce 2.74
Cl  0.0289  0.3412  0.1167  3 Ce 2.84-2.88
Cl  0.1167  0.0289  0.3412  3 Ce 2.84-2.88
Cl  0.1883  0.7210  0.5774  3 Ce 2.85-2.94
Cl  0.2790  0.4226  0.8117  3 Ce 2.85-2.94
Cl  0.3412  0.1167  0.0289  3 Ce 2.84-2.88
Cl  0.4226  0.8117  0.2790  3 Ce 2.85-2.94
Cl  0.5774  0.1883  0.7210  3 Ce 2.85-2.94
Cl  0.6588  0.8833  0.9711  3 Ce 2.84-2.88
Cl  0.7210  0.5774  0.1883  3 Ce 2.85-2.94
Cl  0.8117  0.2790  0.4226  3 Ce 2.85-2.94
Cl  0.8833  0.9711  0.6588  3 Ce 2.84-2.88
Cl  0.9711  0.6588  0.8833  3 Ce 2.84-2.88

=====

Record 8
## Ce2PCl (PBE)

Data for a relaxed Ce2PCl crystal.

Lattice parameters (Å, degrees): 7.0418 7.0418 7.0418 131.97 131.97 70.28
With the nearest neighbours (Å) after each atom.
Atoms (fractional coordinates):
Ce  0.1195  0.3695  0.7500  3 P 2.82-2.87, 3 Cl 2.87-2.94
Ce  0.3695  0.1195  0.2500  3 P 2.82-2.87, 3 Cl 2.87-2.94
Ce  0.6305  0.8805  0.7500  3 P 2.82-2.87, 3 Cl 2.87-2.94
Ce  0.8805  0.6305  0.2500  3 P 2.82-2.87, 3 Cl 2.87-2.94
P  0.1250  0.8750  0.2500  6 Ce 2.82-2.87
P  0.8750  0.1250  0.7500  6 Ce 2.82-2.87
Cl  0.3750  0.6250  0.7500  6 Ce 2.87-2.94
Cl  0.6250  0.3750  0.2500  6 Ce 2.87-2.94

=====

Record 9
## Ce3P2Cl3 (PBE)

Data for a relaxed Ce3P2Cl3 crystal.

Lattice parameters (Å, degrees): 7.9360 7.9360 7.3327 90.00 90.00 120.00
With the nearest neighbours (Å) after each atom.
Atoms (fractional coordinates):
Ce  0.0000  0.4139  0.2500  3 Cl 2.79-2.85, 4 P 3.01
Ce  0.0000  0.5861  0.7500  3 Cl 2.79-2.85, 4 P 3.01
Ce  0.4139  0.0000  0.2500  3 Cl 2.79-2.85, 4 P 3.01
Ce  0.4139  0.4139  0.7500  3 Cl 2.79-2.85, 4 P 3.01
Ce  0.5861  0.0000  0.7500  3 Cl 2.79-2.85, 4 P 3.01
Ce  0.5861  0.5861  0.2500  3 Cl 2.79-2.85, 4 P 3.01
P  0.3333  0.6667  0.0000  6 Ce 3.01
P  0.3333  0.6667  0.5000  6 Ce 3.01
P  0.6667  0.3333  0.0000  6 Ce 3.01
P  0.6667  0.3333  0.5000  6 Ce 3.01
Cl  0.0000  0.2339  0.7500  3 Ce 2.79-2.85
Cl  0.0000  0.7661  0.2500  3 Ce 2.79-2.85
Cl  0.2339  0.0000  0.7500  3 Ce 2.79-2.85
Cl  0.2339  0.2339  0.2500  3 Ce 2.79-2.85
Cl  0.7661  0.0000  0.2500  3 Ce 2.79-2.85
Cl  0.7661  0.7661  0.7500  3 Ce 2.79-2.85

=====

Record 10
## Ce3P2Cl (PBE)

Data for a relaxed Ce3P2Cl crystal.

Lattice parameters (Å, degrees): 4.0744 4.0744 20.6200 90.00 90.00 120.00
With the nearest neighbours (Å) after each atom.
Atoms (fractional coordinates):
Ce  0.0000  0.0000  0.0000  6 P 2.89
Ce  0.0000  0.0000  0.5000  6 P 2.89
Ce  0.3333  0.6667  0.1560  3 P 2.81, 3 Cl 3.05
Ce  0.3333  0.6667  0.3440  3 P 2.81, 3 Cl 3.05
Ce  0.6667  0.3333  0.6560  3 P 2.81, 3 Cl 3.05
Ce  0.6667  0.3333  0.8440  3 P 2.81, 3 Cl 3.05
P  0.3333  0.6667  0.5816  6 Ce 2.81-2.89
P  0.3333  0.6667  0.9184  6 Ce 2.81-2.89
P  0.6667  0.3333  0.0816  6 Ce 2.81-2.89
P  0.6667  0.3333  0.4184  6 Ce 2.81-2.89
Cl  0.0000  0.0000  0.2500  6 Ce 3.05
Cl  0.0000  0.0000  0.7500  6 Ce 3.05

=====

The records above give, respectively, electronic total energy values of -25.07, -99.33, -164.60, -68.50, -81.06, -49.06, -108.14, -50.58, -95.53, -79.05 eV for the cell shown.
The records above give, respectively, raw formation energy values of -143.4, -112.9, -170.9, -148.0, -162.3, -130.4, -188.3, -148.7, -164.1, -145.6 kJ per mole of atoms.